# HPtPb

A relaxed structure of HPtPb (GGA-PBE, the Alexandria database).

Cell: 3.243 3.243 5.228 Å, 90.00 90.00 120.00°
Positions (direct):
Pb 0.000 0.000 0.000
H 0.333 0.667 0.500
Pt 0.667 0.333 0.500

Properties
**Symmetry**: P-6m2 (187)
**E above lowest polymorph**: 169 meV per atom
**Electronic total energy**: -12.9 eV per cell